1.
Material: KPt2Rh
Method: DFT, PBE-GGA
State: relaxed

a = 2.8137 Å, b = 2.8137 Å, c = 30.4861 Å
α = 90.00°, β = 90.00°, γ = 120.00°
With the nearest neighbours (Å) after each atom.
Space group R-3m (No. 166, hexagonal axes)
Unique sites:
K (0.0000, 0.0000, 0.0000) [3 per cell]  6 K 2.81
Pt (0.0000, 0.0000, 0.2415) [6 per cell]  3 Rh 2.80, 6 Pt 2.81
Rh (0.0000, 0.0000, 0.5000) [3 per cell]  6 Pt 2.80, 6 Rh 2.81

Computed properties:
**Raw total energy**: -58.7 eV/cell
**Energy relative to the elements**: 0.243 eV/atom
**N(E_F)**: 0.806 states/eV per atom
**Density**: 12.68 g/cm³

---

2.
Material: KPt2Rh
Method: DFT, PBE-GGA
State: relaxed

a = 8.7656 Å, b = 2.7508 Å, c = 7.0134 Å
α = 90.00°, β = 95.15°, γ = 90.00°
With the nearest neighbours (Å) after each atom.
Space group C2/m (No. 12)
Unique sites:
K (0.0000, 0.0000, 0.0000) [2 per cell]  2 K 2.75
Pt (0.2392, 0.0000, 0.6669) [4 per cell]  3 Rh 2.66-2.69, 4 Pt 2.74-2.75
Rh (0.0000, 0.5000, 0.5000) [2 per cell]  6 Pt 2.66-2.69, 2 Rh 2.75

Computed properties:
**Raw total energy**: -39.0 eV/cell
**Energy relative to the elements**: 0.258 eV/atom
**N(E_F)**: 1.468 states/eV per atom
**Density**: 10.49 g/cm³

---

3.
Material: KPt2Rh
Method: DFT, PBE-GGA
State: relaxed

a = 5.1118 Å, b = 5.1118 Å, c = 2.7349 Å
α = 90.00°, β = 90.00°, γ = 90.00°
With the nearest neighbours (Å) after each atom.
Space group P4/mmm (No. 123)
Unique sites:
K (0.0000, 0.0000, 0.0000) [1 per cell]  2 K 2.73, 8 Pt 2.90
Pt (0.0000, 0.5000, 0.5000) [2 per cell]  2 Pt 2.73, 4 K 2.90, 4 Rh 2.90
Rh (0.5000, 0.5000, 0.0000) [1 per cell]  2 Rh 2.73, 8 Pt 2.90

Computed properties:
**Raw total energy**: -18.8 eV/cell
**Energy relative to the elements**: 0.436 eV/atom
**N(E_F)**: 1.367 states/eV per atom
**Density**: 12.37 g/cm³

---

4.
Material: KPtRh2
Method: DFT, PBE-GGA
State: relaxed

a = 2.7816 Å, b = 3.5604 Å, c = 7.9693 Å
α = 90.00°, β = 90.00°, γ = 90.00°
With the nearest neighbours (Å) after each atom.
Space group Pmm2 (No. 25)
Unique sites:
K (0.0000, 0.0000, 0.0000) [1 per cell]  2 K 2.78
Pt (0.5000, 0.5000, 0.3118) [1 per cell]  5 Rh 2.73-2.84, 2 Pt 2.78
Rh (0.0000, 0.0000, 0.5046) [1 per cell]  6 Rh 2.61-2.78, 4 Pt 2.73
Rh (0.5000, 0.5000, 0.6687) [1 per cell]  6 Rh 2.61-2.78, 1 Pt 2.84

Computed properties:
**Excess energy over the best structure of this formula in the dataset**: 50.4 meV/atom
**Raw total energy**: -20.5 eV/cell
**Energy relative to the elements**: 0.337 eV/atom
**N(E_F)**: 1.471 states/eV per atom
**Density**: 9.26 g/cm³

---

5.
Material: KPt2Rh
Method: DFT, PBE-GGA
State: relaxed

a = 5.1659 Å, b = 5.1659 Å, c = 16.8171 Å
α = 90.00°, β = 90.00°, γ = 90.00°
With the nearest neighbours (Å) after each atom.
Space group I-42d (No. 122)
Unique sites:
K (0.0000, 0.0000, 0.0000) [4 per cell]  8 Pt 3.41-3.74, 4 Rh 3.65
Pt (0.0431, 0.2500, 0.6250) [8 per cell]  2 Rh 2.48, 2 Pt 2.62
Rh (0.0000, 0.0000, 0.5000) [4 per cell]  4 Pt 2.48

Computed properties:
**Raw total energy**: -75.6 eV/cell
**Energy relative to the elements**: 0.406 eV/atom
**N(E_F)**: 0.769 states/eV per atom
**Density**: 7.88 g/cm³

---

6.
Material: KPt2Rh2
Method: DFT, PBE-GGA
State: relaxed

a = 8.0703 Å, b = 8.0703 Å, c = 2.7183 Å
α = 90.00°, β = 90.00°, γ = 90.00°
With the nearest neighbours (Å) after each atom.
Space group P4/mbm (No. 127)
Unique sites:
K (0.0000, 0.0000, 0.0000) [2 per cell]  2 K 2.72
Pt (0.1211, 0.3789, 0.0000) [4 per cell]  6 Rh 2.68-2.79, 3 Pt 2.72-2.76
Rh (0.1763, 0.6763, 0.5000) [4 per cell]  6 Pt 2.68-2.79, 2 Rh 2.72

Computed properties:
**Excess energy over the best structure of this formula in the dataset**: 63.2 meV/atom
**Raw total energy**: -54.1 eV/cell
**Energy relative to the elements**: 0.164 eV/atom
**N(E_F)**: 2.200 states/eV per atom
**Density**: 11.91 g/cm³